# CaRh2Br, relaxed, DFT PBE
data_CaRh2Br
_symmetry_space_group_name_H-M 'I 4/m m m'
_symmetry_Int_Tables_number 139
_symmetry_space_group_name_Hall '-I 4 2'
_cell_length_a 3.879
_cell_length_b 3.879
_cell_length_c 10.335
_cell_angle_alpha 90.00
_cell_angle_beta 90.00
_cell_angle_gamma 90.00
loop_
_atom_site_label
_atom_site_fract_x
_atom_site_fract_y
_atom_site_fract_z
Ca1 0.000 0.000 0.000
Rh1 0.000 0.500 0.250
Br1 0.000 0.000 0.500
# VASP energy (eV/atom): -4.64
# DOS at the Fermi energy (states/eV/cell): 8.884
# Total moment (μB per cell): 2.80
# Energy relative to the elements, uncorrected (eV/atom): -0.0479

# FeTcPt6, relaxed, DFT PBE
data_FeTcPt6
_symmetry_space_group_name_H-M 'P 4/m m m'
_symmetry_Int_Tables_number 123
_symmetry_space_group_name_Hall '-P 4 2'
_cell_length_a 3.945
_cell_length_b 3.945
_cell_length_c 7.820
_cell_angle_alpha 90.00
_cell_angle_beta 90.00
_cell_angle_gamma 90.00
loop_
_atom_site_label
_atom_site_fract_x
_atom_site_fract_y
_atom_site_fract_z
Fe1 0.000 0.000 0.000
Tc1 0.000 0.000 0.500
Pt1 0.000 0.500 0.248
Pt2 0.500 0.500 0.000
Pt3 0.500 0.500 0.500
# VASP energy (eV/atom): -7.02
# DOS at the Fermi energy (states/eV/cell): 9.236
# Formation enthalpy at 0 K (eV per formula unit): -1.05
# Total moment (μB per cell): 2.47